(1)
AlCo3: relaxed, PBE.

As for the uncorrected energy: -6.384 eV per atom. The density of states at the Fermi level is 4.8 states/eV/cell. Its space group is R-3m (166). Its total moment is 4.3 Bohr magnetons per cell.

Geometry as POSCAR:
```
AlCo3
1.0
-0.3331 3.6769 2.8365
0.0206 -4.2000 2.0089
2.6416 0.5177 -3.7987
Co Al
3 1
Cartesian
1.1542 2.0973 -0.4811 Co
-0.1563 -0.2615 2.4227 Co
1.3311 -1.8411 -0.8949 Co
0.0000 0.0000 0.0000 Al
```

---

(2)
SrCdPO2: relaxed, PBE.

As for the uncorrected energy: -3.582 eV per atom. The density of states at the Fermi level is 3.8 states/eV/cell. Its space group is P4/mmm (123). Its total moment is 3.1 Bohr magnetons per cell. The calculation puts the formation energy (no corrections) at 3 meV/atom.

Geometry as POSCAR:
```
SrCdPO2
1.0
-0.4123 1.4709 -4.1869
-3.2356 -2.9775 -0.7274
-4.4198 4.3254 1.9548
Sr O Cd P
1 2 1 1
Cartesian
0.0000 0.0000 0.0000 Sr
-0.2062 0.7355 -2.0935 O
-1.6178 -1.4888 -0.3637 O
-4.0339 1.4094 -1.4797 Cd
-2.2099 2.1627 0.9774 P
```

---

(3)
La2DyH: relaxed, PBE.

As for the uncorrected energy: -4.382 eV per atom. The density of states at the Fermi level is 5.9 states/eV/cell. Its space group is P4/mmm (123). Its total moment is 0.0 Bohr magnetons per cell.

Geometry as POSCAR:
```
La2DyH
1.0
-2.5355 -1.5667 -1.7776
2.0788 -0.2215 -2.7700
2.8422 -7.7203 2.7505
H La Dy
1 2 1
Cartesian
-0.2283 -0.8941 -2.2738 H
2.3279 -6.3233 2.2528 La
0.5143 -1.3970 0.4977 La
1.1928 -4.7543 -0.8985 Dy
```

---

(4)
SbMoOs2: relaxed, PBE.

As for the uncorrected energy: -8.879 eV per atom. The density of states at the Fermi level is 3.4 states/eV/cell. Its space group is P2/m (10). Its total moment is 0.0 Bohr magnetons per cell. The calculation puts the formation energy (no corrections) at 475 meV/atom.

Geometry as POSCAR:
```
SbMoOs2
1.0
-3.9041 -1.6104 -0.0834
0.5905 -1.5543 2.3690
-1.4057 3.1809 4.3800
Os Mo Sb
2 1 1
Cartesian
-1.3249 2.9719 4.6311 Os
-0.4884 1.0223 3.1233 Os
-2.5635 0.4147 5.0200 Mo
-2.1559 -0.3986 1.6455 Sb
```

---

(5)
CsHgI2F: relaxed, PBE.

As for the uncorrected energy: -2.330 eV per atom. The density of states at the Fermi level is 1.0 states/eV/cell. Its space group is P4/mmm (123). Its total moment is 0.0 Bohr magnetons per cell. The calculation puts the formation energy (no corrections) at -1104 meV/atom.

Geometry as POSCAR:
```
CsHgI2F
1.0
-0.5654 4.0453 4.5666
-5.4963 -2.3280 1.3818
2.0540 -3.0793 2.9821
I Cs F Hg
2 1 1 1
Cartesian
-2.7481 -1.1640 0.6909 I
-0.2827 2.0227 2.2833 I
-2.0038 -0.6810 4.4652 Cs
1.0270 -1.5397 1.4911 F
0.0000 0.0000 0.0000 Hg
```

---

(6)
Fe2PPb: relaxed, PBE.

As for the uncorrected energy: -6.269 eV per atom. The density of states at the Fermi level is 3.1 states/eV/cell. Its space group is Pm (6). Its total moment is 4.2 Bohr magnetons per cell.

Geometry as POSCAR:
```
Fe2PPb
1.0
-3.3501 1.5327 1.6873
-0.8870 -2.7938 0.7769
2.1420 -1.4281 5.5501
Pb P Fe
1 1 2
Cartesian
-0.6886 -2.4987 5.7682 Pb
0.4649 -1.6138 2.3891 P
-1.3829 -0.4208 2.5021 Fe
0.1390 -0.2669 0.5185 Fe
```

---

(7)
Tb3As2Rh9Pb: relaxed, PBE.

As for the uncorrected energy: -6.601 eV per atom. The density of states at the Fermi level is 4.8 states/eV/cell. Its space group is P-3m1 (164). Its total moment is 0.0 Bohr magnetons per cell.

Geometry as POSCAR:
```
Tb3As2Rh9Pb
1.0
6.2551 0.0000 0.0000
-3.1275 5.4171 0.0000
0.0000 0.0000 9.5408
Tb Rh As Pb
3 9 2 1
Cartesian
0.0000 0.0000 0.0000 Tb
0.0000 3.6114 7.1744 Tb
3.1275 1.8057 2.3665 Tb
4.9295 0.7653 7.0436 Rh
0.0000 1.5306 2.4973 Rh
3.1275 3.8864 7.0436 Rh
3.1275 0.0000 0.0000 Rh
1.8020 4.6517 2.4973 Rh
-1.8020 4.6517 2.4973 Rh
1.5638 2.7085 0.0000 Rh
-1.5638 2.7085 0.0000 Rh
1.3256 0.7653 7.0436 Rh
3.1275 1.8057 7.9553 As
0.0000 3.6114 1.5855 As
0.0000 0.0000 4.7704 Pb
```

---

(8)
La3SmPt: relaxed, PBE.

As for the uncorrected energy: -5.601 eV per atom. The density of states at the Fermi level is 14.1 states/eV/cell. Its space group is Cm (8). Its total moment is 0.0 Bohr magnetons per cell.

Geometry as POSCAR:
```
La3SmPt
1.0
-2.7561 -2.7727 -0.2868
1.7360 -3.9877 -4.9207
5.4512 -9.0087 7.9220
La Sm Pt
6 2 2
Cartesian
3.3971 -6.5639 4.0253 La
2.7542 -8.3730 0.9031 La
-0.0029 -5.8114 2.6330 La
3.2413 -11.7708 2.2820 La
1.2523 -6.4152 -3.5922 La
2.4478 -11.4097 6.4175 La
0.3528 -2.8329 -2.7920 Sm
2.0873 -4.8200 -0.2484 Sm
-0.7876 -4.6730 -0.8318 Pt
3.5958 -9.5702 4.3902 Pt
```

---

(9)
TaRe2Se: relaxed, PBE.

As for the uncorrected energy: -9.519 eV per atom. The density of states at the Fermi level is 3.9 states/eV/cell. Its space group is I-4m2 (119). Its total moment is 0.0 Bohr magnetons per cell. The calculation puts the formation energy (no corrections) at 539 meV/atom.

Geometry as POSCAR:
```
TaRe2Se
1.0
5.1626 0.0022 0.0000
2.3417 4.6009 0.0000
-3.7521 -2.3016 2.6975
Re Ta Se
2 1 1
Cartesian
0.0000 0.0000 0.0000 Re
1.1708 2.3005 1.3488 Re
2.5813 0.0011 1.3488 Ta
3.7521 2.3016 0.0000 Se
```

---

(10)
La4InGeO: relaxed, PBE.

As for the uncorrected energy: -5.756 eV per atom. The density of states at the Fermi level is 12.6 states/eV/cell. Its space group is Cmcm (63). Its total moment is 0.9 Bohr magnetons per cell. The calculation puts the formation energy (no corrections) at -1181 meV/atom.

Geometry as POSCAR:
```
La4InGeO
1.0
6.8727 0.0000 0.0000
0.0000 6.8845 0.0000
-3.4364 0.0000 8.5088
La In Ge O
8 2 2 2
Cartesian
1.7182 3.4422 4.2544 La
1.7182 0.0000 4.2544 La
3.4364 1.7211 1.3491 La
3.4364 1.7211 7.3946 La
-1.7182 0.0000 4.2544 La
0.0000 5.1633 7.1597 La
0.0000 5.1633 1.1143 La
-1.7182 3.4422 4.2544 La
0.0000 1.7211 6.6398 In
3.4364 5.1633 1.8691 In
0.0000 1.7211 1.9969 Ge
3.4364 5.1633 6.5119 Ge
3.4364 1.7211 4.1748 O
0.0000 5.1633 4.3340 O
```

---

(11)
SmEr2Bi4: relaxed, PBE.

As for the uncorrected energy: -4.793 eV per atom. The density of states at the Fermi level is 6.2 states/eV/cell. Its space group is Cmcm (63). Its total moment is 0.0 Bohr magnetons per cell.

Geometry as POSCAR:
```
SmEr2Bi4
1.0
-1.9273 -1.0805 3.9304
-1.6862 -3.8272 -4.4652
13.1953 -10.1179 3.6891
Bi Er Sm
8 4 2
Cartesian
2.2048 -7.4322 1.6243 Bi
7.3770 -7.5933 1.5300 Bi
2.4925 -3.8583 0.1616 Bi
5.6340 -5.5992 3.8097 Bi
-0.9637 -0.5402 1.9652 Bi
7.0892 -11.1672 2.9927 Bi
10.8120 -10.2272 2.4903 Bi
-1.2302 -4.7983 0.6639 Bi
9.4442 -12.8825 3.6759 Er
0.1376 -2.1430 -0.5217 Er
4.7726 -5.6970 0.7742 Er
4.8091 -9.3285 2.3800 Er
8.6317 -8.6250 4.4479 Sm
0.9501 -6.4005 -1.2937 Sm
```

---

(12)
Ho6Er4Tm: relaxed, PBE.

As for the uncorrected energy: -4.430 eV per atom. The density of states at the Fermi level is 38.0 states/eV/cell. Its space group is Cmcm (63). Its total moment is 0.0 Bohr magnetons per cell.

Geometry as POSCAR:
```
Ho6Er4Tm
1.0
-2.9932 -1.8471 -4.3616
-0.5336 -2.3693 4.9685
-18.5162 16.3215 5.7949
Er Ho Tm
8 12 2
Cartesian
-20.6051 12.4636 5.2633 Er
-12.9238 5.6926 2.8593 Er
-13.0879 9.0871 1.5345 Er
-8.9550 3.0180 4.8673 Er
-17.8448 13.2801 3.0232 Er
-4.1981 -1.1750 3.3786 Er
-1.4378 -0.3585 1.1385 Er
-9.1192 6.4125 3.5425 Er
-15.4506 11.2092 2.2572 Ho
-10.1066 3.4493 1.8760 Ho
-10.7547 7.2372 0.7166 Ho
-4.7145 -1.3037 0.1885 Ho
-17.3284 13.4088 6.2133 Ho
-18.0688 10.1190 4.5156 Ho
-15.5470 7.8962 3.7264 Ho
-6.5923 0.8959 4.1446 Ho
-3.9741 1.9861 1.8862 Ho
-11.9364 8.6559 4.5258 Ho
-1.4966 -0.9235 -2.1808 Ho
-6.4959 4.2090 2.6754 Ho
-14.6267 11.0416 5.3617 Tm
-7.4163 1.0635 1.0401 Tm
```

---

(13)
Ac3MgGe6: relaxed, PBE.

As for the uncorrected energy: -4.703 eV per atom. The density of states at the Fermi level is 9.9 states/eV/cell. Its space group is R-3c (167). Its total moment is 0.0 Bohr magnetons per cell.

Geometry as POSCAR:
```
Ac3MgGe6
1.0
-2.8368 -4.3653 6.2370
-0.3933 -5.7413 -5.7346
7.9290 -0.5530 1.6819
Ac Mg Ge
6 2 12
Cartesian
4.9851 -2.8545 2.1424 Ac
-0.7688 -5.1749 3.1967 Ac
-0.2862 -7.8051 0.0419 Ac
1.6573 -5.2950 -2.6087 Ac
3.0416 -5.3646 4.7930 Ac
5.4677 -5.4847 -1.0124 Ac
2.3495 -5.3298 1.0921 Mg
0.0000 0.0000 0.0000 Mg
4.9697 -8.0794 3.7317 Ge
1.3859 -7.5201 2.9360 Ge
1.8000 -9.8368 1.9744 Ge
2.8911 -7.6220 -0.7994 Ge
5.0642 -6.0483 2.2056 Ge
-0.2708 -2.5802 -1.5474 Ge
-0.3351 -1.7990 2.4035 Ge
1.8079 -3.0376 2.9837 Ge
3.3130 -3.1395 -0.7517 Ge
2.8990 -0.8228 0.2099 Ge
5.0340 -8.8606 -0.2192 Ge
-0.3652 -4.6113 -0.0213 Ge
```

---

(14)
Na2Zn3Pt: relaxed, PBE.

As for the uncorrected energy: -2.352 eV per atom. The density of states at the Fermi level is 4.0 states/eV/cell. Its space group is P6_3/mmc (194). Its total moment is 0.0 Bohr magnetons per cell.

Geometry as POSCAR:
```
Na2Zn3Pt
1.0
-1.6065 -3.6616 3.6842
-2.2431 0.0376 -4.9527
6.0320 -5.4368 -2.7732
Zn Na Pt
6 4 2
Cartesian
1.6867 -7.1057 -2.3147 Zn
3.6175 -5.2880 -1.6785 Zn
2.8118 -7.1246 0.1694 Zn
-0.6293 -1.9362 -4.2110 Zn
0.4957 -1.9551 -1.7269 Zn
-1.4351 -3.7728 -2.3631 Zn
-1.4802 -2.7337 0.6496 Na
0.8588 -4.8418 -0.4257 Na
1.3236 -4.2190 -3.6159 Na
3.6626 -6.3271 -4.6913 Na
0.0000 0.0000 0.0000 Pt
3.0160 -2.7184 -1.3866 Pt
```

---

(15)
GeAsPSe2: relaxed, PBE.

As for the uncorrected energy: -3.391 eV per atom. The density of states at the Fermi level is 3.8 states/eV/cell. Its space group is P4/mmm (123). Its total moment is 0.0 Bohr magnetons per cell. The calculation puts the formation energy (no corrections) at 938 meV/atom.

Geometry as POSCAR:
```
GeAsPSe2
1.0
-0.9928 2.0220 -4.3470
0.0239 -4.4370 -2.0693
-4.8746 -0.4482 0.9048
Ge Se P As
1 2 1 1
Cartesian
0.0000 0.0000 0.0000 Ge
0.0119 -2.2185 -1.0347 Se
-0.4964 1.0110 -2.1735 Se
-2.9218 -1.4316 -2.7557 P
-2.4373 -0.2241 0.4524 As
```

---

(16)
PaZnRh3: relaxed, PBE.

As for the uncorrected energy: -7.080 eV per atom. The density of states at the Fermi level is 5.0 states/eV/cell. Its space group is Cmcm (63). Its total moment is 0.0 Bohr magnetons per cell.

Geometry as POSCAR:
```
PaZnRh3
1.0
-0.7783 0.9596 4.3834
3.8941 -5.0067 1.7874
2.5610 6.0105 -0.8610
Rh Zn Pa
6 2 2
Cartesian
4.4903 -0.1298 2.0086 Rh
2.2391 4.5672 2.9464 Rh
3.4378 -2.6039 2.3633 Rh
3.8403 2.5058 3.6820 Rh
1.8366 -0.5425 1.6277 Rh
1.1866 2.0932 3.3012 Rh
-0.3891 0.4798 2.1917 Zn
0.0000 0.0000 0.0000 Zn
2.8659 -0.6133 4.1918 Pa
2.8110 2.5766 1.1179 Pa
```

---

(17)
Ba4CdAg2: relaxed, PBE.

As for the uncorrected energy: -2.244 eV per atom. The density of states at the Fermi level is 6.9 states/eV/cell. Its space group is R-3m (166). Its total moment is 0.0 Bohr magnetons per cell.

Geometry as POSCAR:
```
Ba4CdAg2
1.0
-3.6217 -4.2513 -1.9277
1.1712 -2.8062 -5.0656
4.2561 -8.8340 2.4323
Ag Ba Cd
2 4 1
Cartesian
1.3443 -11.9060 -3.4300 Ag
0.4613 -3.9855 -1.1310 Ag
-0.5484 -9.4877 -5.2073 Ba
-0.9946 -5.5215 -4.0622 Ba
2.3540 -6.4037 0.6462 Ba
2.8002 -10.3700 -0.4989 Ba
0.0000 0.0000 0.0000 Cd
```

---

(18)
UPa2Ge: relaxed, PBE.

As for the uncorrected energy: -8.967 eV per atom. The density of states at the Fermi level is 8.9 states/eV/cell. Its space group is P4/mmm (123). Its total moment is 0.0 Bohr magnetons per cell.

Geometry as POSCAR:
```
UPa2Ge
1.0
-2.0916 -3.6110 0.8664
3.9229 -2.1809 0.3804
0.1211 0.9842 4.3940
Pa Ge U
2 1 1
Cartesian
1.9615 -1.0905 0.1902 Pa
0.0605 0.4921 2.1970 Pa
-1.0458 -1.8055 0.4332 Ge
0.9762 -2.4039 2.8204 U
```

---

(19)
CaNd3Hg2: relaxed, PBE.

As for the uncorrected energy: -2.956 eV per atom. The density of states at the Fermi level is 15.7 states/eV/cell. Its space group is Ibam (72). Its total moment is 0.0 Bohr magnetons per cell.

Geometry as POSCAR:
```
CaNd3Hg2
1.0
-4.3457 3.1564 -4.9145
2.6425 -4.8158 -5.4296
-4.6253 -4.0802 6.8615
Hg Nd Ca
4 6 2
Cartesian
-1.4993 -2.8176 -3.7242 Hg
-1.7737 -6.5897 -0.5120 Hg
-4.5547 0.8499 -2.9706 Hg
-4.8291 -2.9222 0.2416 Hg
-0.1910 -2.0337 -6.5295 Nd
-4.4500 -2.2595 -2.9084 Nd
-1.8785 -3.4802 -0.5742 Nd
-1.5122 0.3742 -3.8147 Nd
-0.5572 -5.8882 -3.2890 Nd
-5.7712 0.1484 -0.1936 Nd
0.0000 0.0000 0.0000 Ca
1.3212 -2.4079 -2.7148 Ca
```

---

(20)
Mn2AlSb: relaxed, PBE.

As for the uncorrected energy: -6.391 eV per atom. The density of states at the Fermi level is 3.2 states/eV/cell. Its space group is C2/m (12). Its total moment is 5.5 Bohr magnetons per cell. The calculation puts the formation energy (no corrections) at 160 meV/atom.

Geometry as POSCAR:
```
Mn2AlSb
1.0
6.2920 0.0079 0.0215
-2.5021 3.9432 -0.0082
1.2879 0.9420 2.5617
Sb Mn Al
1 2 1
Cartesian
-0.6071 2.4426 1.2767 Sb
0.0000 0.0000 0.0000 Mn
3.7899 0.4750 1.2916 Mn
1.8950 1.9756 0.0067 Al
```

---

(21)
Cs3BaZn: relaxed, PBE.

As for the uncorrected energy: -0.920 eV per atom. The density of states at the Fermi level is 4.2 states/eV/cell. Its space group is Pm-3m (221). Its total moment is 0.0 Bohr magnetons per cell.

Geometry as POSCAR:
```
Cs3BaZn
1.0
-0.3195 -3.7379 6.4146
-2.0671 -6.1218 -3.6703
7.1306 -1.9421 -0.7765
Ba Zn Cs
1 1 3
Cartesian
2.3720 -5.9009 0.9839 Ba
0.0000 0.0000 0.0000 Zn
-1.0335 -3.0609 -1.8351 Cs
-0.1598 -1.8689 3.2073 Cs
3.5653 -0.9711 -0.3883 Cs
```

---

(22)
Tm6Ag5Pb: relaxed, PBE.

As for the uncorrected energy: -4.084 eV per atom. The density of states at the Fermi level is 6.2 states/eV/cell. Its space group is Cmmm (65). Its total moment is 0.0 Bohr magnetons per cell.

Geometry as POSCAR:
```
Tm6Ag5Pb
1.0
4.8552 -0.0289 1.6180
0.0391 7.2687 0.0130
-0.0055 -0.0145 8.1099
Tm Pb Ag
6 1 5
Cartesian
0.8530 5.3873 5.6310 Tm
4.0359 1.8380 4.1100 Tm
0.8339 1.8524 5.6247 Tm
2.4379 1.8725 0.8124 Tm
2.4565 5.3673 0.8186 Tm
4.0549 5.3729 4.1164 Tm
0.0000 0.0000 0.0000 Pb
1.6445 3.6199 3.2240 Ag
0.0196 3.6344 0.0065 Ag
3.2423 -0.0289 6.4580 Ag
3.2443 3.6054 6.5170 Ag
1.6075 -0.0145 3.2699 Ag
```

---

(23)
BaLa2Ru: relaxed, PBE.

As for the uncorrected energy: -5.310 eV per atom. The density of states at the Fermi level is 4.0 states/eV/cell. Its space group is Immm (71). Its total moment is 0.0 Bohr magnetons per cell.

Geometry as POSCAR:
```
BaLa2Ru
1.0
-4.9672 4.3548 -1.2734
-4.4062 0.1128 5.0824
6.3301 1.2268 -1.9194
La Ba Ru
2 1 1
Cartesian
-5.4220 2.5843 2.2033 La
-8.6382 4.1172 3.5102 La
-1.3814 1.7867 2.5338 Ba
-1.6619 3.9077 -0.6442 Ru
```

---

(24)
Sr5Tb: relaxed, PBE.

As for the uncorrected energy: -2.053 eV per atom. The density of states at the Fermi level is 5.5 states/eV/cell. Its space group is Cmmm (65). Its total moment is 0.0 Bohr magnetons per cell.

Geometry as POSCAR:
```
Sr5Tb
1.0
-4.1969 -1.4089 0.1590
0.9480 -3.4468 -5.5169
2.3502 -6.0845 8.1218
Tb Sr
1 5
Cartesian
0.0000 0.0000 0.0000 Tb
-1.6244 -2.4278 -2.6790 Sr
1.4360 -4.3830 -0.9316 Sr
1.8622 -5.1483 3.5364 Sr
-1.2339 -3.0947 1.7214 Sr
0.3352 -7.8454 1.0425 Sr
```